{
  "formula": "NaAcSi2",
  "functional": "GGA-PBE",
  "state": "relaxed",
  "lattice": [[-0.526, -2.088, 3.953], [5.336, -9.888, -4.513], [13.105, 5.057, 4.415]],
  "species": ["Na", "Na", "Na", "Na", "Na", "Na", "Na", "Na", "Ac", "Ac", "Ac", "Ac", "Ac", "Ac", "Ac", "Ac", "Si", "Si", "Si", "Si", "Si", "Si", "Si", "Si", "Si", "Si", "Si", "Si", "Si", "Si", "Si", "Si"],
  "frac_coords": [[0.750, 0.551, 0.941], [0.250, 0.051, 0.559], [0.250, 0.449, 0.059], [0.750, 0.949, 0.441], [0.750, 0.346, 0.179], [0.250, 0.846, 0.321], [0.250, 0.654, 0.821], [0.750, 0.154, 0.679], [0.750, 0.453, 0.692], [0.250, 0.953, 0.808], [0.250, 0.547, 0.308], [0.750, 0.047, 0.192], [0.750, 0.228, 0.932], [0.250, 0.728, 0.568], [0.250, 0.772, 0.068], [0.750, 0.272, 0.432], [0.750, 0.969, 0.973], [0.250, 0.469, 0.527], [0.250, 0.031, 0.027], [0.750, 0.531, 0.473], [0.750, 0.791, 0.903], [0.250, 0.291, 0.597], [0.250, 0.209, 0.097], [0.750, 0.709, 0.403], [0.750, 0.764, 0.736], [0.250, 0.264, 0.764], [0.250, 0.236, 0.264], [0.750, 0.736, 0.236], [0.750, 0.918, 0.642], [0.250, 0.418, 0.858], [0.250, 0.082, 0.358], [0.750, 0.582, 0.142]],
  "space_group": "Pnma",
  "e_form_raw_ev_per_fu": -1.45,
  "density_g_cm3": 5.07,
  "final_energy_ev_per_fu": -17.72,
  "magnetic_moment_mub_per_cell": 0.0,
  "vol_a3_per_cell": 802.5
}

{
  "formula": "MnAuSe2",
  "functional": "GGA-PBE",
  "state": "relaxed",
  "lattice": [[-2.895, 0.235, 0.721], [1.081, -1.237, 2.502], [1.562, 8.464, 3.511]],
  "species": ["Au", "Mn", "Se", "Se"],
  "frac_coords": [[0.000, 0.000, 0.540], [0.500, 0.500, 0.744], [0.000, 0.000, 0.916], [0.500, 0.500, 0.299]],
  "space_group": "Cmm2",
  "e_form_raw_ev_per_fu": 0.27,
  "density_g_cm3": 8.31,
  "final_energy_ev_per_fu": -19.15,
  "magnetic_moment_mub_per_cell": 3.5,
  "vol_a3_per_cell": 81.9
}

{
  "formula": "LaCeNiSe4",
  "functional": "GGA-PBE",
  "state": "relaxed",
  "lattice": [[6.983, 0.000, 0.120], [0.000, 5.920, 0.000], [-2.582, 0.000, 7.984]],
  "species": ["La", "La", "Ce", "Ce", "Ni", "Ni", "Se", "Se", "Se", "Se", "Se", "Se", "Se", "Se"],
  "frac_coords": [[0.734, 0.750, 0.930], [0.266, 0.250, 0.070], [0.736, 0.750, 0.439], [0.264, 0.250, 0.561], [0.250, 0.750, 0.317], [0.750, 0.250, 0.683], [0.014, 0.507, 0.748], [0.986, 0.007, 0.252], [0.986, 0.493, 0.252], [0.014, 0.993, 0.748], [0.428, 0.750, 0.118], [0.572, 0.250, 0.882], [0.417, 0.750, 0.601], [0.583, 0.250, 0.399]],
  "space_group": "P2_1/m",
  "e_form_raw_ev_per_fu": -10.19,
  "density_g_cm3": 6.54,
  "final_energy_ev_per_fu": -40.77,
  "magnetic_moment_mub_per_cell": 0.5,
  "vol_a3_per_cell": 331.9
}

{
  "formula": "CeSm2Cd3",
  "functional": "GGA-PBE",
  "state": "relaxed",
  "lattice": [[3.792, 0.000, 0.000], [0.000, 3.792, 0.000], [0.000, 0.000, 11.632]],
  "species": ["Ce", "Sm", "Sm", "Cd", "Cd", "Cd"],
  "frac_coords": [[0.500, 0.500, 0.500], [0.500, 0.500, 0.836], [0.500, 0.500, 0.164], [0.000, 0.000, 0.000], [0.000, 0.000, 0.672], [0.000, 0.000, 0.328]],
  "space_group": "P4/mmm",
  "density_g_cm3": 7.73,
  "final_energy_ev_per_fu": -19.61,
  "e_form_mev_per_atom": -249,
  "magnetic_moment_mub_per_cell": 2.2,
  "vol_a3_per_cell": 167.2
}

{
  "formula": "SrNdPuN3",
  "functional": "GGA-PBE",
  "state": "relaxed",
  "lattice": [[-1.238, 3.105, -1.594], [-5.395, -2.791, -1.249], [-1.338, 3.791, 8.427]],
  "species": ["Sr", "Sr", "Nd", "Nd", "Pu", "Pu", "N", "N", "N", "N", "N", "N"],
  "frac_coords": [[0.750, 0.652, 0.689], [0.250, 0.348, 0.311], [0.250, 0.770, 0.040], [0.750, 0.230, 0.960], [0.250, 0.137, 0.651], [0.750, 0.863, 0.349], [0.250, 0.803, 0.483], [0.750, 0.029, 0.155], [0.750, 0.562, 0.176], [0.750, 0.197, 0.517], [0.250, 0.438, 0.824], [0.250, 0.971, 0.845]],
  "space_group": "P2_1/m",
  "e_form_raw_ev_per_fu": -6.47,
  "density_g_cm3": 8.26,
  "final_energy_ev_per_fu": -52.23,
  "magnetic_moment_mub_per_cell": 8.0,
  "vol_a3_per_cell": 208.2
}

{
  "formula": "La8Zn2Hg",
  "functional": "GGA-PBE",
  "state": "relaxed",
  "lattice": [[-3.636, -3.338, -1.410], [5.900, -6.513, 0.203], [-2.786, 3.653, 7.883]],
  "species": ["La", "La", "La", "La", "La", "La", "La", "La", "Zn", "Zn", "Hg"],
  "frac_coords": [[0.658, 0.877, 0.315], [0.342, 0.562, 0.685], [0.144, 0.144, 0.287], [0.000, 0.331, 0.000], [0.856, 0.856, 0.713], [0.658, 0.438, 0.315], [0.342, 0.123, 0.685], [0.000, 0.669, 0.000], [0.198, 0.698, 0.395], [0.802, 0.302, 0.605], [0.500, 0.000, 0.000]],
  "space_group": "Immm",
  "density_g_cm3": 7.01,
  "final_energy_ev_per_fu": -43.74,
  "e_form_mev_per_atom": -133,
  "magnetic_moment_mub_per_cell": 0.0,
  "vol_a3_per_cell": 341.7
}